(1)
This record from the Alexandria database describes crystalline Ce2Th2AlGa4 at its relaxed geometry. The functional is PBE.

```
Ce2Th2AlGa4
1.0
-3.485 3.485 4.507
3.485 -3.485 4.507
3.485 3.485 -4.507
Ce Th Al Ga
2 2 1 4
direct
0.191 0.191 0.000
0.809 0.809 0.000
0.250 0.750 0.500
0.750 0.250 0.500
0.500 0.500 0.000
0.251 0.251 0.502
0.251 0.749 0.000
0.749 0.251 0.000
0.749 0.749 0.498
```

## Properties
E_form   -0.171 eV/atom
Spin magnetization   1.15 μB per cell
Symmetry   No. 139
V   219.0 Å³/f.u.
Density of states at the Fermi level   1.4638 states/eV per atom



(2)
This record from the Alexandria database describes crystalline Ce2ThAl2Ga2 at its relaxed geometry. The functional is PBE.

```
Ce2ThAl2Ga2
1.0
2.190 1.265 9.450
-2.190 1.265 9.450
0.000 -2.529 9.450
Ce Th Al Ga
2 1 2 2
direct
0.141 0.141 0.141
0.859 0.859 0.859
0.000 0.000 0.000
0.407 0.407 0.407
0.593 0.593 0.593
0.262 0.262 0.262
0.738 0.738 0.738
```

## Properties
E_form   -0.372 eV/atom
Spin magnetization   2.00 μB per cell
Symmetry   No. 166
V   157.1 Å³/f.u.
Density of states at the Fermi level   1.7541 states/eV per atom



(3)
This record from the Alexandria database describes crystalline CeTmAl2Ga2 at its relaxed geometry. The functional is PBE.

```
CeTmAl2Ga2
1.0
4.468 0.000 0.000
-2.234 3.870 0.000
0.000 0.000 7.235
Ce Tm Al Ga
1 1 2 2
direct
0.000 0.000 0.000
0.000 0.000 0.500
0.333 0.667 0.739
0.667 0.333 0.261
0.333 0.667 0.267
0.667 0.333 0.733
```

## Properties
E_form   -0.522 eV/atom
Spin magnetization   0.57 μB per cell
Symmetry   No. 164
V   125.1 Å³/f.u.
Density of states at the Fermi level   1.0549 states/eV per atom



(4)
This record from the Alexandria database describes crystalline Ce2Y2AlGa4 at its relaxed geometry. The functional is PBE.

```
Ce2Y2AlGa4
1.0
-3.585 3.585 4.270
3.585 -3.585 4.270
3.585 3.585 -4.270
Ce Y Al Ga
2 2 1 4
direct
0.170 0.170 0.000
0.830 0.830 0.000
0.250 0.750 0.500
0.750 0.250 0.500
0.500 0.500 0.000
0.259 0.259 0.518
0.259 0.741 0.000
0.741 0.259 0.000
0.741 0.741 0.482
```

## Properties
E_form   -0.208 eV/atom
Spin magnetization   2.09 μB per cell
Symmetry   No. 139
V   219.6 Å³/f.u.
Density of states at the Fermi level   1.4684 states/eV per atom